No. 1
A plane-wave DFT calculation with GGA-PBE was carried out for a relaxed SrAcGaN2 crystal.

Properties
symmetry: No. 49
size of the total moment: 0.00 μB/atom
raw total energy: -5.482 eV per atom

Cell: 5.565 5.685 7.312 Å, 90.00 90.00 90.00°
Atoms (fractional coordinates):
Sr 0.000 0.000 0.250
Sr 0.000 0.000 0.750
Ac 0.500 0.500 0.250
Ac 0.500 0.500 0.750
Ga 0.500 0.000 0.000
Ga 0.500 0.000 0.500
N 0.278 0.251 0.000
N 0.278 0.749 0.500
N 0.722 0.251 0.500
N 0.722 0.749 0.000

---

No. 2
A plane-wave DFT calculation with GGA-PBE was carried out for a relaxed Ac2TaGaN5 crystal.

Properties
symmetry: No. 36
size of the total moment: 0.00 μB/atom
raw total energy: -8.001 eV per atom

Cell: 7.650 7.650 10.628 Å, 90.00 90.00 154.39°
Atoms (fractional coordinates):
Ac 0.113 0.887 0.500
Ac 0.128 0.872 0.116
Ac 0.872 0.128 0.616
Ac 0.887 0.113 0.000
Ta 0.214 0.786 0.822
Ta 0.786 0.214 0.322
Ga 0.450 0.550 0.268
Ga 0.550 0.450 0.768
N 0.055 0.945 0.857
N 0.289 0.711 0.452
N 0.311 0.689 0.196
N 0.343 0.657 0.814
N 0.499 0.501 0.101
N 0.501 0.499 0.601
N 0.657 0.343 0.314
N 0.689 0.311 0.696
N 0.711 0.289 0.952
N 0.945 0.055 0.357

---

No. 3
A plane-wave DFT calculation with GGA-PBE was carried out for a relaxed Ac4TlGaN crystal.

Properties
symmetry: No. 63
size of the total moment: 0.00 μB/atom
raw total energy: -4.834 eV per atom

Cell: 9.454 9.454 7.341 Å, 90.00 90.00 134.43°
Atoms (fractional coordinates):
Ac 0.000 0.500 0.000
Ac 0.000 0.500 0.500
Ac 0.062 0.938 0.750
Ac 0.418 0.582 0.750
Ac 0.500 0.000 0.000
Ac 0.500 0.000 0.500
Ac 0.582 0.418 0.250
Ac 0.938 0.062 0.250
Tl 0.387 0.613 0.250
Tl 0.613 0.387 0.750
Ga 0.120 0.880 0.250
Ga 0.880 0.120 0.750
N 0.275 0.725 0.750
N 0.725 0.275 0.250